# PBE-GGA KMo2Cl, optimized geometry
data_KMo2Cl
_chemical_formula_sum 'K2 Mo4 Cl2'
_cell_length_a 2.9345
_cell_length_b 5.0607
_cell_length_c 10.5206
_cell_angle_alpha 90.00
_cell_angle_beta 90.00
_cell_angle_gamma 90.00
_symmetry_space_group_name_H-M 'C m m m'
_symmetry_Int_Tables_number 65
_symmetry_space_group_name_Hall '-C 2 2'
loop_
_atom_site_label
_atom_site_type_symbol
_atom_site_fract_x
_atom_site_fract_y
_atom_site_fract_z
K1 K 0.0000 0.0000 0.0000
Mo1 Mo 0.0000 0.5000 0.2977
Cl1 Cl 0.0000 0.0000 0.5000
# Crystal system = orthorhombic
# Excess energy over the best structure of this formula in the dataset = 1021 meV per atom
# Formation energy (no corrections) = 1.099 eV per atom
# Magnetization = 0.00 μB/f.u.


# PBE-GGA Tm2ThAl2, optimized geometry
data_Tm2ThAl2
_chemical_formula_sum 'Tm4 Th2 Al4'
_cell_length_a 5.5487
_cell_length_b 3.6583
_cell_length_c 13.1735
_cell_angle_alpha 90.00
_cell_angle_beta 97.18
_cell_angle_gamma 90.00
_symmetry_space_group_name_H-M 'P 1 21/m 1'
_symmetry_Int_Tables_number 11
loop_
_symmetry_equiv_pos_as_xyz
'x,y,z'
'-x,-y,-z'
'-x,y+1/2,-z'
'x,-y+1/2,z'
loop_
_atom_site_label
_atom_site_type_symbol
_atom_site_fract_x
_atom_site_fract_y
_atom_site_fract_z
Tm1 Tm 0.1557 0.2500 0.1103
Tm2 Tm 0.2600 0.7500 0.5341
Th1 Th 0.3096 0.2500 0.7623
Al1 Al 0.2079 0.2500 0.3394
Al2 Al 0.3509 0.7500 0.9606
# Crystal system = monoclinic
# Formation energy = -11 kJ per mole of atoms
# Magnetization = 0.00 μB/f.u.


# PBE-GGA TaRhSe2, optimized geometry
data_TaRhSe2
_chemical_formula_sum 'Ta2 Rh2 Se4'
_cell_length_a 8.6988
_cell_length_b 3.2124
_cell_length_c 5.2484
_cell_angle_alpha 90.00
_cell_angle_beta 96.71
_cell_angle_gamma 90.00
_symmetry_space_group_name_H-M 'C 1 2/m 1'
_symmetry_Int_Tables_number 12
loop_
_symmetry_equiv_pos_as_xyz
'x,y,z'
'-x,-y,-z'
'-x,y,-z'
'x,-y,z'
'x+1/2,y+1/2,z'
'-x+1/2,-y+1/2,-z'
'-x+1/2,y+1/2,-z'
'x+1/2,-y+1/2,z'
loop_
_atom_site_label
_atom_site_type_symbol
_atom_site_fract_x
_atom_site_fract_y
_atom_site_fract_z
Ta1 Ta 0.0000 0.0000 0.0000
Rh1 Rh 0.0000 0.5000 0.5000
Se1 Se 0.2071 0.5000 0.2289
# Crystal system = monoclinic
# Excess energy over the best structure of this formula in the dataset = 357 meV per atom
# Formation energy (no corrections) = -0.143 eV per atom
# Magnetization = 0.00 μB/f.u.


# PBE-GGA PmPr3Hg5, optimized geometry
data_PmPr3Hg5
_chemical_formula_sum 'Pm2 Pr6 Hg10'
_cell_length_a 9.3967
_cell_length_b 9.3967
_cell_length_c 6.7134
_cell_angle_alpha 90.00
_cell_angle_beta 90.00
_cell_angle_gamma 120.00
_symmetry_space_group_name_H-M 'P 63/m c m'
_symmetry_Int_Tables_number 193
_symmetry_space_group_name_Hall '-P 6c 2'
loop_
_atom_site_label
_atom_site_type_symbol
_atom_site_fract_x
_atom_site_fract_y
_atom_site_fract_z
Pm1 Pm 0.0000 0.0000 0.0000
Pr1 Pr 0.0000 0.3718 0.2500
Hg1 Hg 0.0000 0.2974 0.7500
Hg2 Hg 0.3333 0.6667 0.0000
# Crystal system = hexagonal
# Formation energy = -41 kJ per mole of atoms
# Magnetization = 0.00 μB/f.u.


# PBE-GGA BaRhBr2, optimized geometry
data_BaRhBr2
_chemical_formula_sum 'Ba2 Rh2 Br4'
_cell_length_a 11.8675
_cell_length_b 4.0993
_cell_length_c 5.4076
_cell_angle_alpha 90.00
_cell_angle_beta 94.04
_cell_angle_gamma 90.00
_symmetry_space_group_name_H-M 'C 1 m 1'
_symmetry_Int_Tables_number 8
loop_
_symmetry_equiv_pos_as_xyz
'x,y,z'
'x,-y,z'
'x+1/2,y+1/2,z'
'x+1/2,-y+1/2,z'
loop_
_atom_site_label
_atom_site_type_symbol
_atom_site_fract_x
_atom_site_fract_y
_atom_site_fract_z
Ba1 Ba 0.0000 0.0000 0.0000
Rh1 Rh 0.3034 0.0000 0.1838
Br1 Br 0.2254 0.5000 0.9759
Br2 Br 0.4770 0.0000 0.4963
# Crystal system = monoclinic
# Excess energy over the best structure of this formula in the dataset = 30 meV per atom
# Formation energy (no corrections) = -0.857 eV per atom
# Magnetization = 0.00 μB/f.u.


# PBE-GGA Hf3V8Ru, optimized geometry
data_Hf3V8Ru
_chemical_formula_sum 'Hf9 V24 Ru3'
_cell_length_a 5.0891
_cell_length_b 5.0891
_cell_length_c 25.0559
_cell_angle_alpha 90.00
_cell_angle_beta 90.00
_cell_angle_gamma 120.00
_symmetry_space_group_name_H-M 'R 3 m'
_symmetry_Int_Tables_number 160
_symmetry_space_group_name_Hall 'R 3 -2"'
loop_
_atom_site_label
_atom_site_type_symbol
_atom_site_fract_x
_atom_site_fract_y
_atom_site_fract_z
Hf1 Hf 0.0000 0.0000 0.0000
Hf2 Hf 0.0000 0.0000 0.1268
Hf3 Hf 0.0000 0.0000 0.6228
V1 V 0.0000 0.0000 0.3101
V2 V 0.0000 0.0000 0.8136
V3 V 0.0002 0.5001 0.0649
V4 V 0.1673 0.3347 0.8937
Ru1 Ru 0.0000 0.0000 0.5001
# Crystal system = trigonal
# Formation energy = -5 kJ per mole of atoms
# Magnetization = 0.00 μB/f.u.